Run w
The following is a DFT calculation (PBE) of crystalline Tb2Er2Mg at its relaxed geometry.

```
10
Lattice="-2.532 2.532 12.670 2.532 -2.532 12.670 2.532 2.532 -12.670" Properties=species:S:1:pos:R:3 pbc="T T T"
Tb 2.532 1.266 -5.064
Tb 0.000 1.266 1.271
Tb 2.532 1.266 11.400
Tb 0.000 1.266 17.735
Er 2.532 1.266 -1.134
Er 0.000 1.266 5.201
Er 2.532 1.266 7.469
Er 0.000 1.266 13.805
Mg 2.532 1.266 3.168
Mg 0.000 1.266 9.503
```


Run x
The following is a DFT calculation (PBE) of crystalline Tb2Er2Mg at its relaxed geometry.

```
5
Lattice="-1.774 1.774 11.797 1.774 -1.774 11.797 1.774 1.774 -11.797" Properties=species:S:1:pos:R:3 pbc="T T T"
Tb 0.000 0.000 2.227
Tb 0.000 0.000 21.367
Er 0.000 0.000 7.130
Er 0.000 0.000 16.464
Mg 0.000 0.000 11.797
```


Relative stability in eV/atom, measured from the most stable structure: run w 0.223; run x 0.000


Run w
The following is a DFT calculation (PBE) of crystalline Tb4ErMg2 at its relaxed geometry.

```
7
Lattice="2.720 1.570 7.997 -2.720 1.570 7.997 0.000 -3.140 7.997" Properties=species:S:1:pos:R:3 pbc="T T T"
Tb 0.000 0.000 1.768
Tb 0.000 0.000 8.286
Tb 0.000 0.000 15.705
Tb 0.000 0.000 22.223
Er 0.000 0.000 11.995
Mg 0.000 0.000 5.052
Mg 0.000 0.000 18.939
```


Run x
The following is a DFT calculation (PBE) of crystalline Tb4ErMg2 at its relaxed geometry.

```
7
Lattice="2.762 1.595 8.791 -2.762 1.595 8.791 0.000 -3.189 8.791" Properties=species:S:1:pos:R:3 pbc="T T T"
Tb 0.000 0.000 3.439
Tb 0.000 0.000 6.734
Tb 0.000 0.000 19.639
Tb 0.000 0.000 22.934
Er 0.000 0.000 13.186
Mg 0.000 0.000 9.946
Mg 0.000 0.000 16.427
```


Relative stability in eV/atom, measured from the most stable structure: run w 0.000; run x 0.300


Run w
The following is a DFT calculation (PBE) of crystalline TbEr4Mg2 at its relaxed geometry.

```
7
Lattice="1.743 -17.224 0.000 1.743 17.224 0.000 0.000 0.000 3.443" Properties=species:S:1:pos:R:3 pbc="T T T"
Tb 0.000 0.000 0.000
Er 1.743 12.198 0.000
Er 1.743 2.555 1.721
Er 1.743 -2.555 1.721
Er 1.743 -12.198 0.000
Mg 1.743 7.330 1.721
Mg 1.743 -7.330 1.721
```


Run x
The following is a DFT calculation (PBE) of crystalline TbEr4Mg2 at its relaxed geometry.

```
7
Lattice="-2.740 2.740 8.015 2.740 -2.740 8.015 2.740 2.740 -8.015" Properties=species:S:1:pos:R:3 pbc="T T T"
Tb 0.000 0.000 0.000
Er 2.740 0.000 0.000
Er 0.000 0.000 2.976
Er 0.000 2.740 0.000
Er 0.000 0.000 13.055
Mg 0.000 0.000 6.184
Mg 0.000 0.000 9.846
```


Relative stability in eV/atom, measured from the most stable structure: run w 0.000; run x 0.670


Run w
The following is a DFT calculation (PBE) of crystalline Tb2Er3Mg at its relaxed geometry.

```
12
Lattice="4.881 -5.704 0.000 4.881 5.704 0.000 -0.747 0.000 6.674" Properties=species:S:1:pos:R:3 pbc="T T T"
Tb 2.690 3.048 5.396
Tb 5.950 3.048 4.615
Tb 3.064 -3.048 2.059
Tb 6.324 -3.048 1.278
Er 4.694 5.126 1.668
Er 2.620 0.235 3.431
Er 2.993 -0.235 0.094
Er 6.021 0.235 6.580
Er 6.394 -0.235 3.243
Er 4.320 -5.126 5.005
Mg 4.694 2.028 1.668
Mg 4.320 -2.028 5.005
```


Run x
The following is a DFT calculation (PBE) of crystalline Tb2Er3Mg at its relaxed geometry.

```
6
Lattice="-1.669 3.034 9.384 1.669 -3.034 9.384 1.669 3.034 -9.384" Properties=species:S:1:pos:R:3 pbc="T T T"
Tb 0.000 0.000 2.897
Tb 0.000 0.000 15.871
Er 1.669 0.000 0.000
Er 0.000 0.000 6.184
Er 0.000 0.000 12.583
Mg 0.000 0.000 9.384
```


Relative stability in eV/atom, measured from the most stable structure: run w 0.000; run x 0.271


Run w
The following is a DFT calculation (PBE) of crystalline Tb4Er7Mg at its relaxed geometry.

```
12
Lattice="3.521 0.000 0.000 -1.761 3.050 0.000 0.000 0.000 34.069" Properties=species:S:1:pos:R:3 pbc="T T T"
Tb 0.000 2.033 5.529
Tb 0.000 2.033 14.155
Tb 1.761 1.017 19.914
Tb 1.761 1.017 28.541
Er 0.000 0.000 8.417
Er 0.000 0.000 17.035
Er 0.000 0.000 25.653
Er 0.000 2.033 22.798
Er 0.000 2.033 31.407
Er 1.761 1.017 2.663
Er 1.761 1.017 11.272
Mg 0.000 0.000 0.000
```


Run x
The following is a DFT calculation (PBE) of crystalline Tb4Er7Mg at its relaxed geometry.

```
12
Lattice="6.011 -2.869 0.000 6.011 2.869 0.000 -5.588 0.000 11.114" Properties=species:S:1:pos:R:3 pbc="T T T"
Tb 0.033 0.000 2.993
Tb -1.003 0.000 9.445
Tb 7.439 0.000 1.669
Tb 6.402 0.000 8.121
Er -2.794 0.000 5.557
Er -3.908 0.000 10.957
Er 0.378 0.000 6.352
Er 3.753 0.000 2.406
Er 2.682 0.000 8.707
Er 6.057 0.000 4.761
Er 10.343 0.000 0.156
Mg 3.218 0.000 5.557
```


Relative stability in eV/atom, measured from the most stable structure: run w 0.000; run x 0.251


Run w
The following is a DFT calculation (PBE) of crystalline Tb6Er3Mg at its relaxed geometry.

```
20
Lattice="4.680 -7.354 0.000 4.680 7.354 0.000 0.000 0.000 9.027" Properties=species:S:1:pos:R:3 pbc="T T T"
Tb 4.680 6.434 4.514
Tb 2.048 1.036 2.869
Tb 3.035 2.266 8.889
Tb 2.048 -1.036 7.382
Tb 4.680 3.004 3.328
Tb 3.035 -2.266 4.375
Tb 6.326 2.266 8.889
Tb 4.680 -3.004 7.842
Tb 7.313 1.036 2.869
Tb 6.326 -2.266 4.375
Tb 7.313 -1.036 7.382
Tb 4.680 -6.434 0.000
Er 1.646 2.095 5.921
Er 1.646 -2.095 1.408
Er 4.680 0.521 5.795
Er 4.680 -0.521 1.282
Er 7.715 2.095 5.921
Er 7.715 -2.095 1.408
Mg 4.680 3.830 6.508
Mg 4.680 -3.830 1.995
```


Run x
The following is a DFT calculation (PBE) of crystalline Tb6Er3Mg at its relaxed geometry.

```
20
Lattice="11.080 0.000 0.000 0.000 4.988 0.000 -0.067 0.000 11.141" Properties=species:S:1:pos:R:3 pbc="T T T"
Tb 0.515 1.247 4.450
Tb 1.617 1.247 7.776
Tb 1.647 3.741 2.178
Tb 2.682 1.247 11.130
Tb 3.801 3.741 8.910
Tb 4.931 1.247 6.709
Tb 6.082 3.741 4.432
Tb 7.213 1.247 2.231
Tb 8.331 3.741 0.011
Tb 9.366 1.247 8.963
Tb 9.396 3.741 3.366
Tb 10.498 3.741 6.692
Er 2.725 3.741 5.538
Er 3.851 1.247 3.306
Er 4.975 3.741 1.113
Er 6.039 1.247 10.028
Er 7.162 3.741 7.835
Er 8.289 1.247 5.603
Mg 0.463 3.741 10.065
Mg 10.550 1.247 1.076
```


Relative stability in eV/atom, measured from the most stable structure: run w 0.112; run x 0.000


Run w
The following is a DFT calculation (PBE) of crystalline TbEr3Mg at its relaxed geometry.

```
10
Lattice="3.681 0.000 0.000 0.000 10.322 0.000 0.000 0.000 8.118" Properties=species:S:1:pos:R:3 pbc="T T T"
Tb 0.920 2.581 0.474
Tb 2.761 7.742 7.643
Er 0.920 2.581 3.587
Er 0.920 5.199 5.956
Er 0.920 10.284 5.956
Er 2.761 0.038 2.162
Er 2.761 5.123 2.162
Er 2.761 7.742 4.531
Mg 0.920 7.742 2.051
Mg 2.761 2.581 6.067
```


Run x
The following is a DFT calculation (PBE) of crystalline TbEr3Mg at its relaxed geometry.

```
10
Lattice="3.589 0.000 0.000 1.794 6.349 0.000 0.003 0.763 12.956" Properties=species:S:1:pos:R:3 pbc="T T T"
Tb 0.896 0.390 3.468
Tb 4.490 6.723 9.489
Er 0.901 3.276 8.908
Er 0.900 1.959 12.081
Er 2.693 5.266 6.744
Er 2.693 1.846 6.213
Er 4.486 5.154 0.875
Er 4.486 3.837 4.049
Mg 2.696 4.661 11.393
Mg 2.690 2.451 1.564
```


Relative stability in eV/atom, measured from the most stable structure: run w 0.152; run x 0.000


Run w
The following is a DFT calculation (PBE) of crystalline Tb12Er7Mg at its relaxed geometry.

```
20
Lattice="-5.963 5.963 5.963 5.963 -5.963 5.963 5.963 5.963 -5.963" Properties=species:S:1:pos:R:3 pbc="T T T"
Tb 5.963 2.871 -1.737
Tb 4.225 0.000 3.092
Tb 7.700 0.000 3.092
Tb 3.092 4.225 0.000
Tb 2.871 -1.737 5.963
Tb 5.963 2.871 1.737
Tb 0.000 3.092 4.225
Tb 3.092 7.700 0.000
Tb 2.871 1.737 5.963
Tb -1.737 5.963 2.871
Tb 1.737 5.963 2.871
Tb 0.000 3.092 7.700
Er 2.981 2.981 -2.981
Er 2.981 -2.981 2.981
Er 5.963 0.000 0.000
Er -2.981 2.981 2.981
Er 0.000 5.963 0.000
Er 0.000 0.000 5.963
Er 2.981 2.981 2.981
Mg 0.000 0.000 0.000
```


Run x
The following is a DFT calculation (PBE) of crystalline Tb12Er7Mg at its relaxed geometry.

```
20
Lattice="5.936 3.427 5.307 -5.936 3.427 5.307 0.000 -6.855 5.307" Properties=species:S:1:pos:R:3 pbc="T T T"
Tb -1.930 -0.557 4.661
Tb -0.746 -3.172 7.077
Tb -3.120 -0.940 8.843
Tb 1.448 -1.392 4.661
Tb -2.374 2.232 7.077
Tb 0.482 1.950 4.661
Tb -0.482 -1.950 11.259
Tb 2.374 -2.232 8.843
Tb -1.448 1.392 11.259
Tb 3.120 0.940 7.077
Tb 0.746 3.172 8.843
Tb 1.930 0.557 11.259
Er -5.251 0.664 6.651
Er -3.200 -4.215 9.269
Er 2.051 -4.879 6.651
Er 0.000 0.000 7.960
Er -2.051 4.879 9.269
Er 3.200 4.215 6.651
Er 5.251 -0.664 9.269
Mg 0.000 0.000 0.000
```


Relative stability in eV/atom, measured from the most stable structure: run w 0.604; run x 0.000


Run w
The following is a DFT calculation (PBE) of crystalline TbErMg at its relaxed geometry.

```
6
Lattice="3.423 0.000 0.000 0.000 5.378 0.000 -0.009 0.000 9.422" Properties=species:S:1:pos:R:3 pbc="T T T"
Tb 0.007 0.000 0.789
Tb 3.407 2.689 8.633
Er 1.705 0.001 7.014
Er 1.709 2.690 2.409
Mg -0.002 2.697 5.460
Mg 3.416 0.008 3.963
```


Run x
The following is a DFT calculation (PBE) of crystalline TbErMg at its relaxed geometry.

```
3
Lattice="-1.818 1.818 6.502 1.818 -1.818 6.502 1.818 1.818 -6.502" Properties=species:S:1:pos:R:3 pbc="T T T"
Tb 0.000 0.000 0.000
Er 0.000 0.000 4.162
Mg 0.000 0.000 8.608
```


Relative stability in eV/atom, measured from the most stable structure: run w 0.057; run x 0.000


Run w
The following is a DFT calculation (PBE) of crystalline Tb3Er4Mg at its relaxed geometry.

```
8
Lattice="12.688 -1.685 0.000 12.688 1.685 0.000 -0.584 0.000 5.803" Properties=species:S:1:pos:R:3 pbc="T T T"
Tb 0.000 0.000 0.000
Tb 3.678 0.000 1.251
Tb 21.113 0.000 4.551
Er 2.182 0.000 4.032
Er 7.002 0.000 1.525
Er 17.789 0.000 4.278
Er 22.610 0.000 1.770
Mg 12.396 0.000 2.901
```


Run x
The following is a DFT calculation (PBE) of crystalline Tb3Er4Mg at its relaxed geometry.

```
16
Lattice="11.171 0.000 0.000 0.000 7.069 0.000 0.000 0.000 6.149" Properties=species:S:1:pos:R:3 pbc="T T T"
Tb 0.000 0.907 0.000
Tb 2.727 0.864 2.105
Tb 2.858 6.205 5.180
Tb 5.585 6.162 3.074
Tb 8.313 6.205 5.180
Tb 8.444 0.864 2.105
Er 0.000 2.673 3.216
Er 0.000 4.414 0.042
Er 2.741 4.418 2.154
Er 2.844 2.651 5.228
Er 5.585 2.655 3.116
Er 5.585 4.396 0.141
Er 8.327 2.651 5.228
Er 8.430 4.418 2.154
Mg 0.000 6.172 3.137
Mg 5.585 0.897 0.063
```


Relative stability in eV/atom, measured from the most stable structure: run w 0.219; run x 0.000